Entry 1:
Material: Sr3NdFe2O8
Method: DFT, GGA-PBEsol
State: relaxed

Properties
Mass density ... 6.15 g cm⁻³
DFT total energy ... -104.636 eV for the cell shown
Volume ... 174.7 Å³/f.u.
Raw formation energy ... -2430 meV per atom
Symmetry ... No. 38

a b c (Å): 5.3146 6.7330 6.7330
angles (deg): 46.49 90.00 90.00
Closest atoms and distances in Å follow each position.
Element x y z (fractional)
1 Sr 0.0000 0.0000 0.0000  9 O 2.45-2.66
2 Sr 0.0000 0.2871 0.2871  9 O 2.45-2.68
3 Sr 0.5000 0.7895 0.7895  9 O 2.42-2.68
4 Nd 0.5000 0.5064 0.5064  5 O 2.35-2.50
5 Fe 0.0000 0.6460 0.6460  6 O 1.88-1.99
6 Fe 0.5000 0.1453 0.1453  5 O 1.88-1.98
7 O 0.0000 0.4850 0.4850  1 Fe 1.99
8 O 0.0000 0.8019 0.8019  1 Fe 1.93
9 O 0.2539 0.3955 0.8884  2 Fe 1.88
10 O 0.2539 0.8884 0.3955  2 Fe 1.88
11 O 0.5000 0.3165 0.3165  1 Fe 2.12, 1 Nd 2.35
12 O 0.5000 0.9851 0.9851  1 Fe 1.98
13 O 0.7461 0.3955 0.8884  2 Fe 1.88
14 O 0.7461 0.8884 0.3955  2 Fe 1.88

Entry 2:
Material: NdFeSi2Os
Method: DFT, GGA-PBEsol
State: relaxed

Properties
Mass density ... 9.16 g cm⁻³
DFT total energy ... -41.298 eV for the cell shown
Volume ... 80.9 Å³/f.u.
Raw formation energy ... -692 meV per atom
Symmetry ... No. 119

a b c (Å): 5.6937 5.6937 5.6937
angles (deg): 138.26 138.26 60.51
Closest atoms and distances in Å follow each position.
Element x y z (fractional)
1 Nd 0.0000 0.0000 0.0000  8 Si 3.15, 4 Fe 3.19, 4 Os 3.19
2 Fe 0.7500 0.2500 0.5000  4 Si 2.34
3 Si 0.3678 0.3678 0.0000  2 Fe 2.34, 2 Os 2.34, 1 Si 2.60
4 Si 0.6322 0.6322 0.0000  2 Fe 2.34, 2 Os 2.34, 1 Si 2.60
5 Os 0.2500 0.7500 0.5000  4 Si 2.34

Entry 3:
Material: NdFe4P12
Method: DFT, GGA-PBEsol
State: relaxed

Properties
Mass density ... 5.33 g cm⁻³
ΔE_f ... -0.71 eV/atom
DFT total energy ... -122.621 eV for the cell shown
Volume ... 230.2 Å³/f.u.
Symmetry ... No. 204

a b c (Å): 6.6872 6.6872 6.6872
angles (deg): 109.47 109.47 109.47
Closest atoms and distances in Å follow each position.
Element x y z (fractional)
1 Nd 0.0000 0.0000 0.0000  12 P 2.97
2 Fe 0.0000 0.0000 0.5000  6 P 2.22
3 Fe 0.0000 0.5000 0.0000  6 P 2.22
4 Fe 0.5000 0.0000 0.0000  6 P 2.22
5 Fe 0.5000 0.5000 0.5000  6 P 2.22
6 P 0.1530 0.5056 0.3526  2 Fe 2.22, 2 P 2.28-2.36
7 P 0.1530 0.8005 0.6474  2 Fe 2.22, 2 P 2.28-2.36
8 P 0.1995 0.3526 0.8470  2 Fe 2.22, 2 P 2.28-2.36
9 P 0.3526 0.1530 0.5056  2 Fe 2.22, 2 P 2.28-2.36
10 P 0.3526 0.8470 0.1995  2 Fe 2.22, 2 P 2.28-2.36
11 P 0.4944 0.6474 0.8470  2 Fe 2.22, 2 P 2.28-2.36
12 P 0.5056 0.3526 0.1530  2 Fe 2.22, 2 P 2.28-2.36
13 P 0.6474 0.1530 0.8005  2 Fe 2.22, 2 P 2.28-2.36
14 P 0.6474 0.8470 0.4944  2 Fe 2.22, 2 P 2.28-2.36
15 P 0.8005 0.6474 0.1530  2 Fe 2.22, 2 P 2.28-2.36
16 P 0.8470 0.1995 0.3526  2 Fe 2.22, 2 P 2.28-2.36
17 P 0.8470 0.4944 0.6474  2 Fe 2.22, 2 P 2.28-2.36

Entry 4:
Material: NdFe4Sb12
Method: DFT, GGA-PBEsol
State: relaxed

Properties
Mass density ... 8.21 g cm⁻³
DFT total energy ... -100.014 eV for the cell shown
Volume ... 370.1 Å³/f.u.
Raw formation energy ... -253 meV per atom
Symmetry ... No. 204

a b c (Å): 7.8339 7.8339 7.8339
angles (deg): 109.47 109.47 109.47
Closest atoms and distances in Å follow each position.
Element x y z (fractional)
1 Nd 0.0000 0.0000 0.0000  12 Sb 3.36
2 Fe 0.0000 0.0000 0.5000  6 Sb 2.51
3 Fe 0.0000 0.5000 0.0000  6 Sb 2.51
4 Fe 0.5000 0.0000 0.0000  6 Sb 2.51
5 Fe 0.5000 0.5000 0.5000  6 Sb 2.51
6 Sb 0.1632 0.3342 0.4974  2 Fe 2.51
7 Sb 0.1632 0.6658 0.8290  2 Fe 2.51
8 Sb 0.1710 0.8368 0.3342  2 Fe 2.51
9 Sb 0.3342 0.1710 0.8368  2 Fe 2.51
10 Sb 0.3342 0.4974 0.1632  2 Fe 2.51
11 Sb 0.4974 0.1632 0.3342  2 Fe 2.51
12 Sb 0.5026 0.8368 0.6658  2 Fe 2.51
13 Sb 0.6658 0.5026 0.8368  2 Fe 2.51
14 Sb 0.6658 0.8290 0.1632  2 Fe 2.51
15 Sb 0.8290 0.1632 0.6658  2 Fe 2.51
16 Sb 0.8368 0.3342 0.1710  2 Fe 2.51
17 Sb 0.8368 0.6658 0.5026  2 Fe 2.51

Entry 5:
Material: NdFeSi2
Method: DFT, GGA-PBEsol
State: relaxed

Properties
Mass density ... 6.33 g cm⁻³
DFT total energy ... -57.067 eV for the cell shown
Volume ... 67.2 Å³/f.u.
Raw formation energy ... -727 meV per atom
Symmetry ... No. 63

a b c (Å): 8.5924 8.5924 3.9813
angles (deg): 90.00 90.00 152.78
Closest atoms and distances in Å follow each position.
Element x y z (fractional)
1 Nd 0.1074 0.8926 0.7500  11 Si 3.06-3.40, 4 Fe 3.11-3.12
2 Nd 0.8926 0.1074 0.2500  11 Si 3.06-3.40, 4 Fe 3.11-3.12
3 Fe 0.2507 0.7493 0.2500  4 Si 2.23-2.27
4 Fe 0.7493 0.2507 0.7500  4 Si 2.23-2.27
5 Si 0.3112 0.6888 0.7500  4 Fe 2.23-2.27
6 Si 0.4617 0.5383 0.7500  3 Si 2.37-2.51
7 Si 0.5383 0.4617 0.2500  3 Si 2.37-2.51
8 Si 0.6888 0.3112 0.2500  4 Fe 2.23-2.27

Entry 6:
Material: Nd2FeSi3
Method: DFT, GGA-PBEsol
State: relaxed

Properties
Mass density ... 6.08 g cm⁻³
DFT total energy ... -39.773 eV for the cell shown
Volume ... 117.0 Å³/f.u.
Raw formation energy ... -539 meV per atom
Symmetry ... No. 187

a b c (Å): 4.0291 4.0291 8.3244
angles (deg): 90.00 90.00 120.00
Closest atoms and distances in Å follow each position.
Element x y z (fractional)
1 Nd 0.0000 0.0000 0.2453  3 Fe 3.10, 9 Si 3.10-3.15
2 Nd 0.0000 0.0000 0.7547  3 Fe 3.10, 9 Si 3.10-3.15
3 Fe 0.6667 0.3333 0.0000  3 Si 2.33
4 Si 0.3333 0.6667 0.0000  3 Fe 2.33
5 Si 0.3333 0.6667 0.5000  3 Si 2.33
6 Si 0.6667 0.3333 0.5000  3 Si 2.33

Question: Which value of DFT total energy does entry 5 give?
Answer: -57.067 eV for the cell shown

Question: Which value of volume does entry 2 give?
Answer: 80.9 Å³/f.u.

Question: mass density of number 2 (NdFeSi2Os)?
Answer: 9.16 g cm⁻³